--- a ---
First-principles (PBE) data for a relaxed structure of AcAsRh3, as listed in Alexandria via LeMat-Bulk.

Structure (CIF):
```
data_AcAsRh3
_cell_length_a 4.235
_cell_length_b 4.235
_cell_length_c 10.786
_cell_angle_alpha 90.00
_cell_angle_beta 90.00
_cell_angle_gamma 90.00
_space_group_name_H-M_alt 'I 4 m m'
_space_group_IT_number 107
_space_group_name_Hall 'I 4 -2'
loop_
_atom_site_label
_atom_site_type_symbol
_atom_site_fract_x
_atom_site_fract_y
_atom_site_fract_z
Ac1 Ac 0.000 0.000 0.000
As1 As 0.000 0.000 0.356
Rh1 Rh 0.000 0.000 0.577
Rh2 Rh 0.000 0.500 0.244
```

---

--- b ---
First-principles (PBE) data for a relaxed structure of AcAsRh3, as listed in Alexandria via LeMat-Bulk.

Structure (CIF):
```
data_AcAsRh3
_cell_length_a 4.695
_cell_length_b 4.695
_cell_length_c 4.695
_cell_angle_alpha 90.00
_cell_angle_beta 90.00
_cell_angle_gamma 90.00
_space_group_name_H-M_alt 'P m -3 m'
_space_group_IT_number 221
_space_group_name_Hall '-P 4 2 3'
loop_
_atom_site_label
_atom_site_type_symbol
_atom_site_fract_x
_atom_site_fract_y
_atom_site_fract_z
Ac1 Ac 0.000 0.000 0.000
As1 As 0.500 0.500 0.500
Rh1 Rh 0.000 0.500 0.500
```

---

Out of the structures above, which one is the most stable? Solution: a.